TlAgBr after structural relaxation, computed with PBE-GGA.

Symmetry: I4mm, No. 107
Polymorph energy (0 for the lowest one): 54.0 meV/atom
Formation energy (no corrections): -41 kJ/mol of formula units

Cell: 3.6563 3.6563 12.0869 Å, 90.00 90.00 90.00°
Positions (direct):
Tl 0.0000 0.0000 0.0000
Tl 0.5000 0.5000 0.5000
Ag 0.0000 0.0000 0.3490
Ag 0.5000 0.5000 0.8490
Br 0.0000 0.0000 0.7235
Br 0.5000 0.5000 0.2235